Entry 1:
# LaNiMoRh2 PBE optimized geometry
# ΔH_f (0 K) (meV per atom): 424.5
# Total magnetization (μB per atom): 0.4828
data_LaNiMoRh2
_chemical_formula_sum 'La1 Ni1 Mo1 Rh2'
_cell_length_a 4.754
_cell_length_b 4.754
_cell_length_c 4.372
_cell_angle_alpha 90.00
_cell_angle_beta 90.00
_cell_angle_gamma 90.00
_symmetry_space_group_name_H-M 'P 4/m m m'
_symmetry_Int_Tables_number 123
_symmetry_space_group_name_Hall '-P 4 2'
loop_
_atom_site_label
_atom_site_type_symbol
_atom_site_fract_x
_atom_site_fract_y
_atom_site_fract_z
La1 La 0.000 0.000 0.000
Ni1 Ni 0.500 0.500 0.500
Mo1 Mo 0.500 0.500 0.000
Rh1 Rh 0.000 0.500 0.500

Entry 2:
# LaNiMoRu2 PBE optimized geometry
# ΔH_f (0 K) (meV per atom): 809.6
# Total magnetization (μB per atom): 0.4927
data_LaNiMoRu2
_chemical_formula_sum 'La1 Ni1 Mo1 Ru2'
_cell_length_a 4.680
_cell_length_b 4.680
_cell_length_c 4.454
_cell_angle_alpha 90.00
_cell_angle_beta 90.00
_cell_angle_gamma 90.00
_symmetry_space_group_name_H-M 'P 4/m m m'
_symmetry_Int_Tables_number 123
_symmetry_space_group_name_Hall '-P 4 2'
loop_
_atom_site_label
_atom_site_type_symbol
_atom_site_fract_x
_atom_site_fract_y
_atom_site_fract_z
La1 La 0.000 0.000 0.000
Ni1 Ni 0.500 0.500 0.500
Mo1 Mo 0.500 0.500 0.000
Ru1 Ru 0.000 0.500 0.500

Entry 3:
# LaNi2SbMo PBE optimized geometry
# Formation energy without anion corrections (meV per atom): 1422
# Total magnetization (μB per atom): 0.2031
# Polymorph energy (0 for the lowest one) (eV/f.u.): 6.14
data_LaNi2SbMo
_chemical_formula_sum 'La1 Ni2 Sb1 Mo1'
_cell_length_a 4.681
_cell_length_b 4.681
_cell_length_c 5.040
_cell_angle_alpha 90.00
_cell_angle_beta 90.00
_cell_angle_gamma 90.00
_symmetry_space_group_name_H-M 'P 4/m m m'
_symmetry_Int_Tables_number 123
_symmetry_space_group_name_Hall '-P 4 2'
loop_
_atom_site_label
_atom_site_type_symbol
_atom_site_fract_x
_atom_site_fract_y
_atom_site_fract_z
La1 La 0.000 0.000 0.000
Ni1 Ni 0.000 0.500 0.000
Sb1 Sb 0.500 0.500 0.500
Mo1 Mo 0.000 0.000 0.500

Entry 4:
# LaNi2SbMo PBE optimized geometry
# Formation energy without anion corrections (meV per atom): 194
# Total magnetization (μB per atom): 0.0000
# Polymorph energy (0 for the lowest one) (eV/f.u.): 0.00
data_LaNi2SbMo
_chemical_formula_sum 'La1 Ni2 Sb1 Mo1'
_cell_length_a 4.694
_cell_length_b 4.694
_cell_length_c 5.102
_cell_angle_alpha 90.00
_cell_angle_beta 90.00
_cell_angle_gamma 90.00
_symmetry_space_group_name_H-M 'P 4/m m m'
_symmetry_Int_Tables_number 123
_symmetry_space_group_name_Hall '-P 4 2'
loop_
_atom_site_label
_atom_site_type_symbol
_atom_site_fract_x
_atom_site_fract_y
_atom_site_fract_z
La1 La 0.000 0.000 0.000
Ni1 Ni 0.000 0.500 0.500
Sb1 Sb 0.500 0.500 0.000
Mo1 Mo 0.500 0.500 0.500

Entry 5:
# LaTcNi2Mo PBE optimized geometry
# ΔH_f (0 K) (meV per atom): 604.8
# Total magnetization (μB per atom): 0.0000
data_LaTcNi2Mo
_chemical_formula_sum 'La1 Tc1 Ni2 Mo1'
_cell_length_a 4.670
_cell_length_b 4.670
_cell_length_c 4.647
_cell_angle_alpha 90.00
_cell_angle_beta 90.00
_cell_angle_gamma 90.00
_symmetry_space_group_name_H-M 'P 4/m m m'
_symmetry_Int_Tables_number 123
_symmetry_space_group_name_Hall '-P 4 2'
loop_
_atom_site_label
_atom_site_type_symbol
_atom_site_fract_x
_atom_site_fract_y
_atom_site_fract_z
La1 La 0.000 0.000 0.000
Tc1 Tc 0.500 0.500 0.500
Ni1 Ni 0.000 0.500 0.500
Mo1 Mo 0.500 0.500 0.000